Entry 1:
## Ag5OF2 (GGA-PBE)

Data for a relaxed structure of Ag5OF2.

Lattice parameters (Å, degrees): 6.5979 6.5979 11.0746 90.00 90.00 142.61
Fractional coordinates of all 16 atoms:
1 Ag 0.0974 0.9026 0.6226
2 Ag 0.0974 0.9026 0.8774
3 Ag 0.2609 0.7391 0.2500
4 Ag 0.3201 0.6799 0.5412
5 Ag 0.3201 0.6799 0.9588
6 Ag 0.6799 0.3201 0.0412
7 Ag 0.6799 0.3201 0.4588
8 Ag 0.7391 0.2609 0.7500
9 Ag 0.9026 0.0974 0.1226
10 Ag 0.9026 0.0974 0.3774
11 O 0.2459 0.7541 0.7500
12 O 0.7541 0.2459 0.2500
13 F 0.0807 0.9193 0.1000
14 F 0.0807 0.9193 0.4000
15 F 0.9193 0.0807 0.6000
16 F 0.9193 0.0807 0.9000

Computed properties:
Uncorrected energy: -3.297 eV/atom
Relative energy among the computed polymorphs: 3.2 kJ/mol of atoms
Raw formation energy: -0.43 eV per atom
Volume: 292.74 Å³ per cell

Entry 2:
## AgOF (GGA-PBE)

Data for a relaxed structure of AgOF.

Lattice parameters (Å, degrees): 3.4222 3.5851 8.1255 100.10 97.64 92.70
Fractional coordinates of all 6 atoms:
1 Ag 0.1903 0.1830 0.3331
2 Ag 0.8097 0.8170 0.6669
3 O 0.1142 0.1328 0.0464
4 O 0.8858 0.8672 0.9536
5 F 0.2996 0.3017 0.6361
6 F 0.7004 0.6983 0.3639

Computed properties:
Uncorrected energy: -3.844 eV/atom
Raw formation energy: -0.62 eV per atom
Volume: 97.02 Å³ per cell

Entry 3:
## Ag6O2F (GGA-PBE)

Data for a relaxed structure of Ag6O2F.

Lattice parameters (Å, degrees): 5.6746 5.6746 7.5030 119.49 119.49 44.74
Fractional coordinates of all 9 atoms:
1 Ag 0.0106 0.0106 0.1970
2 Ag 0.3147 0.3147 0.8740
3 Ag 0.3380 0.3380 0.4929
4 Ag 0.6620 0.6620 0.5071
5 Ag 0.6853 0.6853 0.1260
6 Ag 0.9894 0.9894 0.8030
7 O 0.2275 0.2275 0.1284
8 O 0.7725 0.7725 0.8716
9 F 0.0000 0.0000 0.5000

Computed properties:
Uncorrected energy: -3.380 eV/atom
Raw formation energy: -0.17 eV per atom
Volume: 143.95 Å³ per cell

Entry 4:
## AgO3F2 (GGA-PBE)

Data for a relaxed structure of AgO3F2.

Lattice parameters (Å, degrees): 6.1120 6.1120 6.7417 108.16 108.16 89.90
Fractional coordinates of all 12 atoms:
1 Ag 0.0096 0.9904 0.7500
2 Ag 0.9904 0.0096 0.2500
3 O 0.3065 0.6477 0.5768
4 O 0.3523 0.6935 0.9232
5 O 0.4068 0.5932 0.7500
6 O 0.5932 0.4068 0.2500
7 O 0.6477 0.3065 0.0768
8 O 0.6935 0.3523 0.4232
9 F 0.1613 0.1676 0.0934
10 F 0.1676 0.1613 0.5934
11 F 0.8324 0.8387 0.4066
12 F 0.8387 0.8324 0.9066

Computed properties:
Uncorrected energy: -3.881 eV/atom
Raw formation energy: -0.30 eV per atom
Volume: 226.10 Å³ per cell

Entry 5:
## Ag12O5F3 (GGA-PBE)

Data for a relaxed structure of Ag12O5F3.

Lattice parameters (Å, degrees): 12.0482 12.0482 12.0482 109.47 109.47 109.47
Fractional coordinates of all 80 atoms:
1 Ag 0.0402 0.2197 0.1152
2 Ag 0.0402 0.3205 0.9251
3 Ag 0.0749 0.6152 0.3954
4 Ag 0.0749 0.9598 0.6795
5 Ag 0.1046 0.7197 0.6795
6 Ag 0.1046 0.8848 0.4251
7 Ag 0.1152 0.0402 0.2197
8 Ag 0.1152 0.5749 0.8954
9 Ag 0.1795 0.2197 0.6046
10 Ag 0.1795 0.4598 0.5749
11 Ag 0.2197 0.1152 0.0402
12 Ag 0.2197 0.6046 0.1795
13 Ag 0.2803 0.3205 0.8954
14 Ag 0.2803 0.4598 0.3849
15 Ag 0.3205 0.8954 0.2803
16 Ag 0.3205 0.9251 0.0402
17 Ag 0.3849 0.2803 0.4598
18 Ag 0.3849 0.6046 0.9251
19 Ag 0.3954 0.0749 0.6152
20 Ag 0.3954 0.8205 0.7803
21 Ag 0.4251 0.1046 0.8848
22 Ag 0.4251 0.8205 0.5402
23 Ag 0.4598 0.3849 0.2803
24 Ag 0.4598 0.5749 0.1795
25 Ag 0.5402 0.4251 0.8205
26 Ag 0.5402 0.6152 0.7197
27 Ag 0.5749 0.1795 0.4598
28 Ag 0.5749 0.8954 0.1152
29 Ag 0.6046 0.1795 0.2197
30 Ag 0.6046 0.9251 0.3849
31 Ag 0.6152 0.3954 0.0749
32 Ag 0.6152 0.7197 0.5402
33 Ag 0.6795 0.0749 0.9598
34 Ag 0.6795 0.1046 0.7197
35 Ag 0.7197 0.5402 0.6152
36 Ag 0.7197 0.6795 0.1046
37 Ag 0.7803 0.3954 0.8205
38 Ag 0.7803 0.8848 0.9598
39 Ag 0.8205 0.5402 0.4251
40 Ag 0.8205 0.7803 0.3954
41 Ag 0.8848 0.4251 0.1046
42 Ag 0.8848 0.9598 0.7803
43 Ag 0.8954 0.1152 0.5749
44 Ag 0.8954 0.2803 0.3205
45 Ag 0.9251 0.0402 0.3205
46 Ag 0.9251 0.3849 0.6046
47 Ag 0.9598 0.6795 0.0749
48 Ag 0.9598 0.7803 0.8848
49 O 0.0000 0.0000 0.0000
50 O 0.0000 0.0000 0.5000
51 O 0.0000 0.5000 0.0000
52 O 0.0000 0.5000 0.5000
53 O 0.1250 0.7500 0.8750
54 O 0.1250 0.8750 0.2500
55 O 0.2500 0.1250 0.8750
56 O 0.2500 0.6250 0.3750
57 O 0.3750 0.2500 0.6250
58 O 0.3750 0.6250 0.7500
59 O 0.5000 0.0000 0.0000
60 O 0.5000 0.0000 0.5000
61 O 0.5000 0.5000 0.0000
62 O 0.5000 0.5000 0.5000
63 O 0.6250 0.3750 0.2500
64 O 0.6250 0.7500 0.3750
65 O 0.7500 0.3750 0.6250
66 O 0.7500 0.8750 0.1250
67 O 0.8750 0.1250 0.7500
68 O 0.8750 0.2500 0.1250
69 F 0.1250 0.2500 0.3750
70 F 0.1250 0.3750 0.7500
71 F 0.2500 0.3750 0.1250
72 F 0.2500 0.8750 0.6250
73 F 0.3750 0.1250 0.2500
74 F 0.3750 0.7500 0.1250
75 F 0.6250 0.2500 0.8750
76 F 0.6250 0.8750 0.7500
77 F 0.7500 0.1250 0.3750
78 F 0.7500 0.6250 0.8750
79 F 0.8750 0.6250 0.2500
80 F 0.8750 0.7500 0.6250

Computed properties:
Uncorrected energy: -3.414 eV/atom
Raw formation energy: -0.18 eV per atom
Volume: 1346.29 Å³ per cell

Entry 6:
## Ag6OF2 (GGA-PBE)

Data for a relaxed structure of Ag6OF2.

Lattice parameters (Å, degrees): 7.1544 7.1544 8.3817 124.64 124.64 24.36
Fractional coordinates of all 9 atoms:
1 Ag 0.1365 0.1365 0.0196
2 Ag 0.1645 0.1645 0.6880
3 Ag 0.3513 0.3513 0.6566
4 Ag 0.6487 0.6487 0.3434
5 Ag 0.8355 0.8355 0.3120
6 Ag 0.8635 0.8635 0.9804
7 O 0.5000 0.5000 0.0000
8 F 0.0087 0.0087 0.3409
9 F 0.9913 0.9913 0.6591

Computed properties:
Uncorrected energy: -3.276 eV/atom
Raw formation energy: -0.41 eV per atom
Volume: 143.95 Å³ per cell